DFT (PBE-GGA) results for a relaxed structure of Tb5ThTl6.

Unit cell a=6.6275 b=9.8831 c=7.4880 alpha=48.71 beta=81.85 gamma=77.60
With the nearest neighbours (Å) after each atom.
Fractional coordinates of all 12 atoms:
1 Tl 0.2566 0.9154 0.6601  5 Tb 3.21-3.27, 1 Th 3.32
2 Tl 0.7434 0.0846 0.3399  5 Tb 3.21-3.27, 1 Th 3.32
3 Tl 0.7489 0.7446 0.0000  5 Tb 3.21-3.27, 1 Th 3.31
4 Tl 0.2511 0.2554 0.0000  5 Tb 3.21-3.27, 1 Th 3.31
5 Tl 0.2566 0.5755 0.3399  5 Tb 3.21-3.27, 1 Th 3.32
6 Tl 0.7434 0.4245 0.6601  5 Tb 3.21-3.27, 1 Th 3.32
7 Tb 0.5000 0.5000 0.0000  6 Tl 3.21-3.23
8 Tb 0.5000 0.8368 0.3264  6 Tl 3.21-3.27
9 Tb 0.5000 0.1632 0.6736  6 Tl 3.21-3.27
10 Tb 0.0000 0.3316 0.3367  6 Tl 3.24-3.27
11 Tb 0.0000 0.6684 0.6633  6 Tl 3.24-3.27
12 Th 0.0000 0.0000 0.0000  6 Tl 3.31-3.32

Output
Its symmetry is C2/m (12). The formation energy comes out at -0.21 eV per atom. As for the energy relative to the lowest polymorph listed for this composition: 1.19 eV/f.u. The crystal system is monoclinic.


DFT (PBE-GGA) results for a relaxed structure of Tb5ThTl.

Unit cell a=5.7142 b=5.7142 c=7.1523 alpha=90.00 beta=90.00 gamma=90.00
With the nearest neighbours (Å) after each atom.
Fractional coordinates of all 7 atoms:
1 Tl 0.0000 0.0000 0.0000  8 Tb 3.41, 2 Th 3.58
2 Tb 0.0000 0.5000 0.2591  2 Th 3.34, 2 Tl 3.41, 4 Tb 3.41-3.71
3 Tb 0.0000 0.5000 0.7409  2 Th 3.34, 2 Tl 3.41, 4 Tb 3.41-3.71
4 Tb 0.5000 0.0000 0.7409  2 Th 3.34, 2 Tl 3.41, 4 Tb 3.41-3.71
5 Tb 0.5000 0.5000 0.0000  8 Tb 3.41
6 Tb 0.5000 0.0000 0.2591  2 Th 3.34, 2 Tl 3.41, 4 Tb 3.41-3.71
7 Th 0.0000 0.0000 0.5000  8 Tb 3.34, 2 Tl 3.58

Output
Its symmetry is P4/mmm (123). The formation energy comes out at 0.35 eV per atom. The crystal system is tetragonal.


DFT (PBE-GGA) results for a relaxed structure of TbTmThTl.

Unit cell a=5.4581 b=5.4581 c=5.4581 alpha=60.00 beta=60.00 gamma=60.00
With the nearest neighbours (Å) after each atom.
Fractional coordinates of all 4 atoms:
1 Tb 0.5000 0.5000 0.5000  4 Tl 3.34, 4 Th 3.34
2 Tl 0.7500 0.7500 0.7500  4 Tb 3.34, 4 Tm 3.34
3 Th 0.2500 0.2500 0.2500  4 Tb 3.34, 4 Tm 3.34
4 Tm 0.0000 0.0000 0.0000  4 Th 3.34, 4 Tl 3.34

Output
Its symmetry is F-43m (216). The formation energy comes out at 0.08 eV per atom. The crystal system is cubic.


DFT (PBE-GGA) results for a relaxed structure of TbYThTl.

Unit cell a=5.4916 b=5.4916 c=5.4916 alpha=60.00 beta=60.00 gamma=60.00
With the nearest neighbours (Å) after each atom.
Fractional coordinates of all 4 atoms:
1 Tl 0.5000 0.5000 0.5000  4 Tb 3.36, 4 Y 3.36
2 Y 0.7500 0.7500 0.7500  4 Tl 3.36, 4 Th 3.36
3 Th 0.0000 0.0000 0.0000  4 Tb 3.36, 4 Y 3.36
4 Tb 0.2500 0.2500 0.2500  4 Tl 3.36, 4 Th 3.36

Output
Its symmetry is F-43m (216). The formation energy comes out at 0.06 eV per atom. The crystal system is cubic.


DFT (PBE-GGA) results for a relaxed structure of TbThTlZn.

Unit cell a=5.3169 b=5.3169 c=5.3169 alpha=60.00 beta=60.00 gamma=60.00
With the nearest neighbours (Å) after each atom.
Fractional coordinates of all 4 atoms:
1 Th 0.7500 0.7500 0.7500  4 Tl 3.26, 4 Zn 3.26
2 Tb 0.2500 0.2500 0.2500  4 Tl 3.26, 4 Zn 3.26
3 Zn 0.0000 0.0000 0.0000  4 Tb 3.26, 4 Th 3.26
4 Tl 0.5000 0.5000 0.5000  4 Tb 3.26, 4 Th 3.26

Output
Its symmetry is F-43m (216). The formation energy comes out at -0.20 eV per atom. The crystal system is cubic.


DFT (PBE-GGA) results for a relaxed structure of Tb4Tm5Th4.

Unit cell a=5.0203 b=9.3687 c=9.3687 alpha=85.88 beta=74.46 gamma=74.46
With the nearest neighbours (Å) after each atom.
Fractional coordinates of all 13 atoms:
1 Tm 0.3067 0.1543 0.2323  3 Th 3.52-3.56, 5 Tb 3.52-3.56, 4 Tm 3.55-3.56
2 Tm 0.6933 0.8457 0.7677  3 Th 3.52-3.56, 5 Tb 3.52-3.56, 4 Tm 3.55-3.56
3 Tm 0.4610 0.2323 0.8457  3 Th 3.52-3.56, 5 Tb 3.52-3.56, 4 Tm 3.55-3.56
4 Tm 0.5390 0.7677 0.1543  3 Th 3.52-3.56, 5 Tb 3.52-3.56, 4 Tm 3.55-3.56
5 Tm 0.0000 0.0000 0.0000  4 Tb 3.54, 8 Tm 3.55
6 Tb 0.2322 0.6155 0.9201  6 Tm 3.52-3.56, 4 Th 3.53-3.59, 2 Tb 3.57
7 Tb 0.8477 0.9201 0.3845  6 Tm 3.52-3.56, 4 Th 3.53-3.59, 2 Tb 3.57
8 Tb 0.1523 0.0799 0.6155  6 Tm 3.52-3.56, 4 Th 3.53-3.59, 2 Tb 3.57
9 Tb 0.7678 0.3845 0.0799  6 Tm 3.52-3.56, 4 Th 3.53-3.59, 2 Tb 3.57
10 Th 0.9232 0.4637 0.6899  5 Th 3.49-3.52, 3 Tm 3.52-3.56, 4 Tb 3.53-3.59
11 Th 0.6131 0.3101 0.4637  5 Th 3.49-3.52, 3 Tm 3.52-3.56, 4 Tb 3.53-3.59
12 Th 0.3869 0.6899 0.5363  5 Th 3.49-3.52, 3 Tm 3.52-3.56, 4 Tb 3.53-3.59
13 Th 0.0768 0.5363 0.3101  5 Th 3.49-3.52, 3 Tm 3.52-3.56, 4 Tb 3.53-3.59

Output
Its symmetry is I4/m (87). The formation energy comes out at 0.03 eV per atom. The crystal system is tetragonal.


DFT (PBE-GGA) results for a relaxed structure of Tb4Tm6Th.

Unit cell a=5.6197 b=5.5883 c=25.3760 alpha=90.00 beta=90.00 gamma=120.19
With the nearest neighbours (Å) after each atom.
Fractional coordinates of all 22 atoms:
1 Tb 0.8352 0.6705 0.9586  8 Tm 3.40-3.65, 1 Tb 3.78
2 Tb 0.5066 0.0132 0.8777  5 Tm 3.10-3.28
3 Tb 0.4934 0.9868 0.1223  5 Tm 3.10-3.28
4 Tb 0.1648 0.3295 0.4586  8 Tm 3.40-3.65, 1 Tb 3.78
5 Tb 0.8352 0.6705 0.5414  8 Tm 3.40-3.65, 1 Tb 3.78
6 Tb 0.5066 0.0132 0.6223  5 Tm 3.10-3.28
7 Tb 0.1648 0.3295 0.0414  8 Tm 3.40-3.65, 1 Tb 3.78
8 Tb 0.4934 0.9868 0.3777  5 Tm 3.10-3.28
9 Tm 0.1717 0.3433 0.6023  7 Tb 3.27-3.65
10 Tm 0.1603 0.3205 0.3171  5 Tm 3.41-3.80, 4 Tb 3.57-3.59, 3 Th 3.64-3.66
11 Tm 0.8397 0.6795 0.8171  5 Tm 3.41-3.80, 4 Tb 3.57-3.59, 3 Th 3.64-3.66
12 Tm 0.4932 0.9864 0.2500  3 Th 3.23-3.24, 2 Tb 3.24
13 Tm 0.5000 0.0000 0.0000  8 Tb 3.10-3.40
14 Tm 0.8283 0.6567 0.1023  7 Tb 3.27-3.65
15 Tm 0.8397 0.6795 0.6829  5 Tm 3.41-3.80, 4 Tb 3.57-3.59, 3 Th 3.64-3.66
16 Tm 0.8283 0.6567 0.3977  7 Tb 3.27-3.65
17 Tm 0.5000 0.0000 0.5000  8 Tb 3.10-3.40
18 Tm 0.5068 0.0136 0.7500  3 Th 3.23-3.24, 2 Tb 3.24
19 Tm 0.1717 0.3433 0.8977  7 Tb 3.27-3.65
20 Tm 0.1603 0.3205 0.1829  5 Tm 3.41-3.80, 4 Tb 3.57-3.59, 3 Th 3.64-3.66
21 Th 0.1729 0.3457 0.7500  3 Tm 3.23-3.24
22 Th 0.8271 0.6543 0.2500  3 Tm 3.23-3.24

Output
Its symmetry is Cmcm (63). The formation energy comes out at 0.13 eV per atom. As for the energy relative to the lowest polymorph listed for this composition: 0.00 eV/f.u. The crystal system is orthorhombic.


DFT (PBE-GGA) results for a relaxed structure of Tb4Tm10Th.

Unit cell a=10.3224 b=8.5593 c=8.5593 alpha=68.68 beta=52.92 gamma=52.92
With the nearest neighbours (Å) after each atom.
Fractional coordinates of all 15 atoms:
1 Tm 0.4509 0.0989 0.3235  5 Tm 3.13-3.35
2 Tm 0.4502 0.6765 0.0989  5 Tm 3.13-3.35
3 Tm 0.1267 0.0989 0.3235  5 Tm 3.13-3.35
4 Tm 0.7500 0.5000 0.5000  4 Tb 3.11, 4 Tm 3.13
5 Tm 0.2500 0.5000 0.5000  4 Tb 3.11, 4 Tm 3.13
6 Tm 0.5498 0.3235 0.9011  5 Tm 3.13-3.35
7 Tm 0.5491 0.9011 0.6765  5 Tm 3.13-3.35
8 Tm 0.8733 0.9011 0.6765  5 Tm 3.13-3.35
9 Tm 0.2256 0.3235 0.9011  5 Tm 3.13-3.35
10 Tm 0.7744 0.6765 0.0989  5 Tm 3.13-3.35
11 Tb 0.6645 0.2650 0.4060  2 Tm 3.11, 1 Th 3.31, 1 Tb 3.46
12 Tb 0.3355 0.7350 0.5940  2 Tm 3.11, 1 Th 3.31, 1 Tb 3.46
13 Tb 0.0705 0.5940 0.2650  2 Tm 3.11, 1 Th 3.31, 1 Tb 3.46
14 Tb 0.9295 0.4060 0.7350  2 Tm 3.11, 1 Th 3.31, 1 Tb 3.46
15 Th 0.0000 0.0000 0.0000  4 Tb 3.31

Output
Its symmetry is I4/m (87). The formation energy comes out at 0.40 eV per atom. The crystal system is tetragonal.


DFT (PBE-GGA) results for a relaxed structure of Tb7Tm3Th.

Unit cell a=8.5804 b=7.0465 c=7.0465 alpha=120.00 beta=90.00 gamma=90.00
With the nearest neighbours (Å) after each atom.
Fractional coordinates of all 11 atoms:
1 Th 0.4506 0.3333 0.6667  9 Tb 3.48-3.52, 3 Tm 3.48
2 Tb 0.4504 0.8319 0.1681  2 Tm 3.49, 7 Tb 3.49-3.55, 2 Th 3.52
3 Tb 0.4504 0.3363 0.1681  2 Tm 3.49, 7 Tb 3.49-3.55, 2 Th 3.52
4 Tb 0.4504 0.8319 0.6637  2 Tm 3.49, 7 Tb 3.49-3.55, 2 Th 3.52
5 Tb 0.1186 0.1699 0.3398  8 Tb 3.45-3.59, 1 Th 3.48, 2 Tm 3.52
6 Tb 0.1186 0.6602 0.8301  8 Tb 3.45-3.59, 1 Th 3.48, 2 Tm 3.52
7 Tb 0.1186 0.1699 0.8301  8 Tb 3.45-3.59, 1 Th 3.48, 2 Tm 3.52
8 Tb 0.1137 0.6667 0.3333  3 Tm 3.51, 9 Tb 3.52
9 Tm 0.7812 0.4986 0.9973  1 Th 3.48, 5 Tb 3.49-3.52, 4 Tm 3.49-3.55
10 Tm 0.7812 0.0027 0.5014  1 Th 3.48, 5 Tb 3.49-3.52, 4 Tm 3.49-3.55
11 Tm 0.7812 0.4986 0.5014  1 Th 3.48, 5 Tb 3.49-3.52, 4 Tm 3.49-3.55

Output
Its symmetry is P3m1 (156). The formation energy comes out at 0.19 eV per atom. As for the energy relative to the lowest polymorph listed for this composition: 0.44 eV/f.u. The crystal system is trigonal.


DFT (PBE-GGA) results for a relaxed structure of Tb3TmTh2.

Unit cell a=9.7654 b=6.6267 c=6.6267 alpha=116.50 beta=89.98 gamma=89.98
With the nearest neighbours (Å) after each atom.
Fractional coordinates of all 12 atoms:
1 Tb 0.5913 0.3797 0.1216  2 Tb 3.26-3.63, 4 Th 3.26-3.50, 1 Tm 3.63
2 Tb 0.0913 0.1216 0.3797  2 Tb 3.26-3.63, 4 Th 3.26-3.50, 1 Tm 3.63
3 Tb 0.7500 0.8763 0.1237  2 Tm 3.49, 6 Th 3.61-3.76, 6 Tb 3.63-3.76
4 Tb 0.4087 0.6203 0.8784  2 Tb 3.26-3.63, 4 Th 3.26-3.50, 1 Tm 3.63
5 Tb 0.9087 0.8784 0.6203  2 Tb 3.26-3.63, 4 Th 3.26-3.50, 1 Tm 3.63
6 Tb 0.2500 0.1237 0.8763  2 Tm 3.49, 6 Th 3.61-3.76, 6 Tb 3.63-3.76
7 Th 0.4263 0.1286 0.3733  1 Th 3.22, 4 Tb 3.26-3.50
8 Th 0.0737 0.6267 0.8714  1 Th 3.22, 4 Tb 3.26-3.50
9 Th 0.5737 0.8714 0.6267  1 Th 3.22, 4 Tb 3.26-3.50
10 Th 0.9263 0.3733 0.1286  1 Th 3.22, 4 Tb 3.26-3.50
11 Tm 0.2500 0.6249 0.3751  8 Tb 3.49-3.76, 6 Th 3.61-3.76
12 Tm 0.7500 0.3751 0.6249  8 Tb 3.49-3.76, 6 Th 3.61-3.76

Output
Its symmetry is C2/c (15). The formation energy comes out at 0.11 eV per atom. As for the energy relative to the lowest polymorph listed for this composition: 0.50 eV/f.u. The crystal system is monoclinic.